*A*
Material: PrSnBi2
Method: DFT, GGA-PBE
State: optimized geometry

```
data_PrSnBi2
_cell_length_a 6.800
_cell_length_b 6.357
_cell_length_c 11.339
_cell_angle_alpha 90.00
_cell_angle_beta 90.00
_cell_angle_gamma 90.00
_symmetry_space_group_name_H-M 'P 1'
_symmetry_Int_Tables_number 1
_symmetry_space_group_name_Hall 'P 1'
loop_
_atom_site_label
_atom_site_type_symbol
_atom_site_fract_x
_atom_site_fract_y
_atom_site_fract_z
_atom_site_occupancy
Pr1 Pr 0.185 0.856 0.386 1
Pr2 Pr 0.685 0.144 0.614 1
Pr3 Pr 0.685 0.644 0.886 1
Pr4 Pr 0.185 0.356 0.114 1
Sn1 Sn 0.943 0.149 0.875 1
Sn2 Sn 0.443 0.851 0.125 1
Sn3 Sn 0.443 0.351 0.375 1
Sn4 Sn 0.943 0.649 0.625 1
Bi1 Bi 0.182 0.657 0.874 1
Bi2 Bi 0.682 0.343 0.126 1
Bi3 Bi 0.682 0.843 0.374 1
Bi4 Bi 0.182 0.157 0.626 1
Bi5 Bi 0.440 0.137 0.881 1
Bi6 Bi 0.940 0.863 0.119 1
Bi7 Bi 0.940 0.363 0.381 1
Bi8 Bi 0.440 0.637 0.619 1
```

=====

*B*
Material: PrSnBi2
Method: DFT, GGA-PBE
State: optimized geometry

```
data_PrSnBi2
_cell_length_a 3.873
_cell_length_b 3.873
_cell_length_c 11.093
_cell_angle_alpha 79.95
_cell_angle_beta 79.95
_cell_angle_gamma 60.00
_symmetry_space_group_name_H-M 'P 1'
_symmetry_Int_Tables_number 1
_symmetry_space_group_name_Hall 'P 1'
loop_
_atom_site_label
_atom_site_type_symbol
_atom_site_fract_x
_atom_site_fract_y
_atom_site_fract_z
_atom_site_occupancy
Pr1 Pr 0.000 0.000 0.000 1
Bi1 Bi 0.099 0.099 0.703 1
Bi2 Bi 0.901 0.901 0.297 1
Sn1 Sn 0.500 0.500 0.500 1
```

=====

*C*
Material: PrSnBi2
Method: DFT, GGA-PBE
State: optimized geometry

```
data_PrSnBi2
_cell_length_a 5.637
_cell_length_b 5.637
_cell_length_c 5.637
_cell_angle_alpha 60.00
_cell_angle_beta 60.00
_cell_angle_gamma 60.00
_symmetry_space_group_name_H-M 'P 1'
_symmetry_Int_Tables_number 1
_symmetry_space_group_name_Hall 'P 1'
loop_
_atom_site_label
_atom_site_type_symbol
_atom_site_fract_x
_atom_site_fract_y
_atom_site_fract_z
_atom_site_occupancy
Pr1 Pr 0.000 0.000 0.000 1
Bi1 Bi 0.250 0.250 0.250 1
Bi2 Bi 0.750 0.750 0.750 1
Sn1 Sn 0.500 0.500 0.500 1
```

=====

*D*
Material: PrSnBi2
Method: DFT, GGA-PBE
State: optimized geometry

```
data_PrSnBi2
_cell_length_a 4.834
_cell_length_b 5.011
_cell_length_c 5.011
_cell_angle_alpha 90.00
_cell_angle_beta 90.00
_cell_angle_gamma 90.00
_symmetry_space_group_name_H-M 'P 1'
_symmetry_Int_Tables_number 1
_symmetry_space_group_name_Hall 'P 1'
loop_
_atom_site_label
_atom_site_type_symbol
_atom_site_fract_x
_atom_site_fract_y
_atom_site_fract_z
_atom_site_occupancy
Pr1 Pr 0.500 0.000 0.000 1
Bi1 Bi 0.000 0.000 0.500 1
Bi2 Bi 0.000 0.500 0.000 1
Sn1 Sn 0.500 0.500 0.500 1
```

=====

Computed stability ranking, most favorable first: *D*, *A*, *C*, *B*

=====

*A*
Material: Tb3PrBi2
Method: DFT, GGA-PBE
State: optimized geometry

```
data_Tb3PrBi2
_cell_length_a 4.600
_cell_length_b 4.600
_cell_length_c 8.791
_cell_angle_alpha 90.00
_cell_angle_beta 90.00
_cell_angle_gamma 90.00
_symmetry_space_group_name_H-M 'P 1'
_symmetry_Int_Tables_number 1
_symmetry_space_group_name_Hall 'P 1'
loop_
_atom_site_label
_atom_site_type_symbol
_atom_site_fract_x
_atom_site_fract_y
_atom_site_fract_z
_atom_site_occupancy
Tb1 Tb 0.500 0.000 0.349 1
Tb2 Tb 0.000 0.500 0.651 1
Tb3 Tb 0.000 0.000 0.000 1
Pr1 Pr 0.500 0.500 0.000 1
Bi1 Bi 0.500 0.000 0.712 1
Bi2 Bi 0.000 0.500 0.288 1
```

=====

*B*
Material: Tb3PrBi2
Method: DFT, GGA-PBE
State: optimized geometry

```
data_Tb3PrBi2
_cell_length_a 4.432
_cell_length_b 10.838
_cell_length_c 9.975
_cell_angle_alpha 124.49
_cell_angle_beta 90.00
_cell_angle_gamma 101.80
_symmetry_space_group_name_H-M 'P 1'
_symmetry_Int_Tables_number 1
_symmetry_space_group_name_Hall 'P 1'
loop_
_atom_site_label
_atom_site_type_symbol
_atom_site_fract_x
_atom_site_fract_y
_atom_site_fract_z
_atom_site_occupancy
Tb1 Tb 0.312 0.623 0.514 1
Tb2 Tb 0.942 0.884 0.556 1
Tb3 Tb 0.641 0.281 0.804 1
Tb4 Tb 0.359 0.719 0.196 1
Tb5 Tb 0.058 0.116 0.444 1
Tb6 Tb 0.688 0.377 0.486 1
Pr1 Pr 0.888 0.777 0.896 1
Pr2 Pr 0.112 0.223 0.104 1
Bi1 Bi 0.489 0.978 0.820 1
Bi2 Bi 0.511 0.022 0.180 1
Bi3 Bi 0.753 0.506 0.218 1
Bi4 Bi 0.247 0.494 0.782 1
```

=====

Computed stability ranking, most favorable first: *A*, *B*

=====

*A*
Material: PrBiTe2
Method: DFT, GGA-PBE
State: optimized geometry

```
data_PrBiTe2
_cell_length_a 5.235
_cell_length_b 4.109
_cell_length_c 12.435
_cell_angle_alpha 99.51
_cell_angle_beta 90.00
_cell_angle_gamma 90.00
_symmetry_space_group_name_H-M 'P 1'
_symmetry_Int_Tables_number 1
_symmetry_space_group_name_Hall 'P 1'
loop_
_atom_site_label
_atom_site_type_symbol
_atom_site_fract_x
_atom_site_fract_y
_atom_site_fract_z
_atom_site_occupancy
Pr1 Pr 0.250 0.446 0.893 1
Pr2 Pr 0.750 0.554 0.107 1
Bi1 Bi 0.250 0.186 0.371 1
Bi2 Bi 0.750 0.814 0.629 1
Te1 Te 0.750 0.686 0.373 1
Te2 Te 0.250 0.314 0.627 1
Te3 Te 0.750 0.945 0.890 1
Te4 Te 0.250 0.055 0.110 1
```

=====

*B*
Material: PrBiTe2
Method: DFT, GGA-PBE
State: optimized geometry

```
data_PrBiTe2
_cell_length_a 4.357
_cell_length_b 4.357
_cell_length_c 10.271
_cell_angle_alpha 77.75
_cell_angle_beta 77.75
_cell_angle_gamma 60.00
_symmetry_space_group_name_H-M 'P 1'
_symmetry_Int_Tables_number 1
_symmetry_space_group_name_Hall 'P 1'
loop_
_atom_site_label
_atom_site_type_symbol
_atom_site_fract_x
_atom_site_fract_y
_atom_site_fract_z
_atom_site_occupancy
Pr1 Pr 0.500 0.500 0.500 1
Te1 Te 0.102 0.102 0.693 1
Te2 Te 0.898 0.898 0.307 1
Bi1 Bi 0.000 0.000 0.000 1
```

=====

Computed stability ranking, most favorable first: *B*, *A*

=====

*A*
Material: Pr2BiTe
Method: DFT, GGA-PBE
State: optimized geometry

```
data_Pr2BiTe
_cell_length_a 5.605
_cell_length_b 5.605
_cell_length_c 5.605
_cell_angle_alpha 60.00
_cell_angle_beta 60.00
_cell_angle_gamma 60.00
_symmetry_space_group_name_H-M 'P 1'
_symmetry_Int_Tables_number 1
_symmetry_space_group_name_Hall 'P 1'
loop_
_atom_site_label
_atom_site_type_symbol
_atom_site_fract_x
_atom_site_fract_y
_atom_site_fract_z
_atom_site_occupancy
Pr1 Pr 0.250 0.250 0.250 1
Pr2 Pr 0.750 0.750 0.750 1
Te1 Te 0.500 0.500 0.500 1
Bi1 Bi 0.000 0.000 0.000 1
```

=====

*B*
Material: Pr2BiTe
Method: DFT, GGA-PBE
State: optimized geometry

```
data_Pr2BiTe
_cell_length_a 4.488
_cell_length_b 4.488
_cell_length_c 8.365
_cell_angle_alpha 74.44
_cell_angle_beta 74.44
_cell_angle_gamma 60.00
_symmetry_space_group_name_H-M 'P 1'
_symmetry_Int_Tables_number 1
_symmetry_space_group_name_Hall 'P 1'
loop_
_atom_site_label
_atom_site_type_symbol
_atom_site_fract_x
_atom_site_fract_y
_atom_site_fract_z
_atom_site_occupancy
Pr1 Pr 0.080 0.080 0.761 1
Pr2 Pr 0.253 0.253 0.240 1
Bi1 Bi 0.668 0.668 0.997 1
Te1 Te 0.499 0.499 0.503 1
```

=====

*C*
Material: Pr2BiTe
Method: DFT, GGA-PBE
State: optimized geometry

```
data_Pr2BiTe
_cell_length_a 4.592
_cell_length_b 6.495
_cell_length_c 9.172
_cell_angle_alpha 90.00
_cell_angle_beta 90.00
_cell_angle_gamma 90.00
_symmetry_space_group_name_H-M 'P 1'
_symmetry_Int_Tables_number 1
_symmetry_space_group_name_Hall 'P 1'
loop_
_atom_site_label
_atom_site_type_symbol
_atom_site_fract_x
_atom_site_fract_y
_atom_site_fract_z
_atom_site_occupancy
Pr1 Pr 0.000 0.000 0.873 1
Pr2 Pr 0.000 0.000 0.376 1
Pr3 Pr 0.500 0.500 0.624 1
Pr4 Pr 0.500 0.500 0.127 1
Bi1 Bi 0.500 0.000 0.626 1
Bi2 Bi 0.000 0.500 0.374 1
Te1 Te 0.000 0.500 0.876 1
Te2 Te 0.500 0.000 0.124 1
```

=====

*D*
Material: Pr2BiTe
Method: DFT, GGA-PBE
State: optimized geometry

```
data_Pr2BiTe
_cell_length_a 6.492
_cell_length_b 6.492
_cell_length_c 12.976
_cell_angle_alpha 89.98
_cell_angle_beta 90.00
_cell_angle_gamma 90.00
_symmetry_space_group_name_H-M 'P 1'
_symmetry_Int_Tables_number 1
_symmetry_space_group_name_Hall 'P 1'
loop_
_atom_site_label
_atom_site_type_symbol
_atom_site_fract_x
_atom_site_fract_y
_atom_site_fract_z
_atom_site_occupancy
Pr1 Pr 0.750 0.000 0.874 1
Pr2 Pr 0.250 0.000 0.126 1
Pr3 Pr 0.750 0.500 0.626 1
Pr4 Pr 0.250 0.500 0.374 1
Pr5 Pr 0.750 0.500 0.124 1
Pr6 Pr 0.250 0.500 0.876 1
Pr7 Pr 0.750 0.000 0.376 1
Pr8 Pr 0.250 0.000 0.624 1
Bi1 Bi 0.250 0.000 0.375 1
Bi2 Bi 0.750 0.000 0.625 1
Bi3 Bi 0.250 0.500 0.125 1
Bi4 Bi 0.750 0.500 0.875 1
Te1 Te 0.250 0.500 0.625 1
Te2 Te 0.750 0.500 0.375 1
Te3 Te 0.250 0.000 0.875 1
Te4 Te 0.750 0.000 0.125 1
```

=====

Computed stability ranking, most favorable first: *D*, *C*, *B*, *A*

=====

*A*
Material: Pr4Bi2Te
Method: DFT, GGA-PBE
State: optimized geometry

```
data_Pr4Bi2Te
_cell_length_a 4.486
_cell_length_b 7.860
_cell_length_c 14.930
_cell_angle_alpha 90.00
_cell_angle_beta 90.00
_cell_angle_gamma 106.58
_symmetry_space_group_name_H-M 'P 1'
_symmetry_Int_Tables_number 1
_symmetry_space_group_name_Hall 'P 1'
loop_
_atom_site_label
_atom_site_type_symbol
_atom_site_fract_x
_atom_site_fract_y
_atom_site_fract_z
_atom_site_occupancy
Pr1 Pr 0.777 0.554 0.128 1
Pr2 Pr 0.777 0.554 0.372 1
Pr3 Pr 0.223 0.446 0.872 1
Pr4 Pr 0.223 0.446 0.628 1
Pr5 Pr 0.956 0.912 0.750 1
Pr6 Pr 0.044 0.088 0.250 1
Pr7 Pr 0.500 0.000 0.000 1
Pr8 Pr 0.500 0.000 0.500 1
Bi1 Bi 0.140 0.280 0.436 1
Bi2 Bi 0.860 0.720 0.936 1
Bi3 Bi 0.140 0.280 0.064 1
Bi4 Bi 0.860 0.720 0.564 1
Te1 Te 0.606 0.213 0.750 1
Te2 Te 0.394 0.787 0.250 1
```

=====

*B*
Material: Pr4Bi2Te
Method: DFT, GGA-PBE
State: optimized geometry

```
data_Pr4Bi2Te
_cell_length_a 8.390
_cell_length_b 8.390
_cell_length_c 8.390
_cell_angle_alpha 109.69
_cell_angle_beta 109.03
_cell_angle_gamma 109.69
_symmetry_space_group_name_H-M 'P 1'
_symmetry_Int_Tables_number 1
_symmetry_space_group_name_Hall 'P 1'
loop_
_atom_site_label
_atom_site_type_symbol
_atom_site_fract_x
_atom_site_fract_y
_atom_site_fract_z
_atom_site_occupancy
Pr1 Pr 0.119 0.889 0.374 1
Pr2 Pr 0.626 0.745 0.515 1
Pr3 Pr 0.980 0.611 0.735 1
Pr4 Pr 0.265 0.245 0.876 1
Pr5 Pr 0.631 0.755 0.020 1
Pr6 Pr 0.770 0.255 0.881 1
Pr7 Pr 0.485 0.111 0.230 1
Pr8 Pr 0.124 0.389 0.369 1
Bi1 Bi 0.875 0.129 0.504 1
Bi2 Bi 0.496 0.371 0.625 1
Bi3 Bi 0.375 0.871 0.746 1
Bi4 Bi 0.254 0.629 0.125 1
Te1 Te 0.000 0.000 0.000 1
Te2 Te 0.750 0.500 0.250 1
```

=====

Computed stability ranking, most favorable first: *B*, *A*

=====

*A*
Material: Pr5Bi4Te
Method: DFT, GGA-PBE
State: optimized geometry

```
data_Pr5Bi4Te
_cell_length_a 6.538
_cell_length_b 8.005
_cell_length_c 8.005
_cell_angle_alpha 80.40
_cell_angle_beta 65.90
_cell_angle_gamma 65.90
_symmetry_space_group_name_H-M 'P 1'
_symmetry_Int_Tables_number 1
_symmetry_space_group_name_Hall 'P 1'
loop_
_atom_site_label
_atom_site_type_symbol
_atom_site_fract_x
_atom_site_fract_y
_atom_site_fract_z
_atom_site_occupancy
Pr1 Pr 0.900 0.402 0.800 1
Pr2 Pr 0.302 0.800 0.598 1
Pr3 Pr 0.700 0.200 0.402 1
Pr4 Pr 0.102 0.598 0.200 1
Pr5 Pr 0.501 0.000 0.000 1
Bi1 Bi 0.401 0.399 0.800 1
Bi2 Bi 0.800 0.800 0.601 1
Bi3 Bi 0.202 0.200 0.399 1
Bi4 Bi 0.601 0.601 0.200 1
Te1 Te 0.001 0.000 0.000 1
```

=====

*B*
Material: Pr5Bi4Te
Method: DFT, GGA-PBE
State: optimized geometry

```
data_Pr5Bi4Te
_cell_length_a 4.622
_cell_length_b 4.622
_cell_length_c 16.655
_cell_angle_alpha 97.98
_cell_angle_beta 97.98
_cell_angle_gamma 90.00
_symmetry_space_group_name_H-M 'P 1'
_symmetry_Int_Tables_number 1
_symmetry_space_group_name_Hall 'P 1'
loop_
_atom_site_label
_atom_site_type_symbol
_atom_site_fract_x
_atom_site_fract_y
_atom_site_fract_z
_atom_site_occupancy
Pr1 Pr 0.100 0.100 0.201 1
Pr2 Pr 0.500 0.500 0.000 1
Pr3 Pr 0.900 0.900 0.799 1
Pr4 Pr 0.300 0.300 0.600 1
Pr5 Pr 0.700 0.700 0.400 1
Bi1 Bi 0.401 0.401 0.801 1
Bi2 Bi 0.800 0.800 0.601 1
Bi3 Bi 0.200 0.200 0.399 1
Bi4 Bi 0.599 0.599 0.199 1
Te1 Te 0.000 0.000 0.000 1
```

=====

Computed stability ranking, most favorable first: *A*, *B*

=====

*A*
Material: PrThBi2
Method: DFT, GGA-PBE
State: optimized geometry

```
data_PrThBi2
_cell_length_a 3.604
_cell_length_b 5.872
_cell_length_c 5.872
_cell_angle_alpha 90.00
_cell_angle_beta 90.00
_cell_angle_gamma 90.00
_symmetry_space_group_name_H-M 'P 1'
_symmetry_Int_Tables_number 1
_symmetry_space_group_name_Hall 'P 1'
loop_
_atom_site_label
_atom_site_type_symbol
_atom_site_fract_x
_atom_site_fract_y
_atom_site_fract_z
_atom_site_occupancy
Pr1 Pr 0.500 0.000 0.000 1
Bi1 Bi 0.000 0.000 0.500 1
Bi2 Bi 0.000 0.500 0.000 1
Th1 Th 0.500 0.500 0.500 1
```

=====

*B*
Material: PrThBi2
Method: DFT, GGA-PBE
State: optimized geometry

```
data_PrThBi2
_cell_length_a 5.617
_cell_length_b 5.617
_cell_length_c 5.617
_cell_angle_alpha 60.00
_cell_angle_beta 60.00
_cell_angle_gamma 60.00
_symmetry_space_group_name_H-M 'P 1'
_symmetry_Int_Tables_number 1
_symmetry_space_group_name_Hall 'P 1'
loop_
_atom_site_label
_atom_site_type_symbol
_atom_site_fract_x
_atom_site_fract_y
_atom_site_fract_z
_atom_site_occupancy
Pr1 Pr 0.500 0.500 0.500 1
Bi1 Bi 0.250 0.250 0.250 1
Bi2 Bi 0.750 0.750 0.750 1
Th1 Th 0.000 0.000 0.000 1
```

=====

Computed stability ranking, most favorable first: *A*, *B*

=====

*A*
Material: PrThBi2
Method: DFT, GGA-PBE
State: optimized geometry

```
data_PrThBi2
_cell_length_a 4.621
_cell_length_b 4.621
_cell_length_c 7.992
_cell_angle_alpha 73.20
_cell_angle_beta 73.20
_cell_angle_gamma 60.00
_symmetry_space_group_name_H-M 'P 1'
_symmetry_Int_Tables_number 1
_symmetry_space_group_name_Hall 'P 1'
loop_
_atom_site_label
_atom_site_type_symbol
_atom_site_fract_x
_atom_site_fract_y
_atom_site_fract_z
_atom_site_occupancy
Pr1 Pr 0.500 0.500 0.500 1
Th1 Th 0.000 0.000 0.000 1
Bi1 Bi 0.251 0.251 0.247 1
Bi2 Bi 0.749 0.749 0.753 1
```

=====

*B*
Material: PrThBi2
Method: DFT, GGA-PBE
State: optimized geometry

```
data_PrThBi2
_cell_length_a 4.481
_cell_length_b 4.481
_cell_length_c 8.503
_cell_angle_alpha 74.72
_cell_angle_beta 74.72
_cell_angle_gamma 60.00
_symmetry_space_group_name_H-M 'P 1'
_symmetry_Int_Tables_number 1
_symmetry_space_group_name_Hall 'P 1'
loop_
_atom_site_label
_atom_site_type_symbol
_atom_site_fract_x
_atom_site_fract_y
_atom_site_fract_z
_atom_site_occupancy
Pr1 Pr 0.669 0.669 0.992 1
Th1 Th 0.498 0.498 0.506 1
Bi1 Bi 0.082 0.082 0.753 1
Bi2 Bi 0.250 0.250 0.250 1
```

=====

Computed stability ranking, most favorable first: *A*, *B*